[1]
Computed, not measured: crystalline Li5GaHg at its relaxed geometry at the PBE-GGA level of DFT.

Lattice parameters (Å, degrees): 9.501 5.469 9.805 90.00 101.17 90.00
Space group C2/c (No. 15)
Symmetry-distinct sites (fractional):
Li (0.000, 0.195, 0.250) x4
Li (0.148, 0.451, 0.030) x8
Li (0.235, 0.089, 0.689) x8
Ga (0.000, 0.000, 0.000) x4
Hg (0.000, 0.321, 0.750) x4

The offset from the most stable computed form is 0.006 eV per atom. The value obtained for the total magnetization is 0.00 μB per formula unit. As for the density of states at the Fermi level: 2.06 states/eV/f.u. The formation energy comes out at -0.177 eV per atom.


[2]
Computed, not measured: crystalline Ac3CeCd4 at its relaxed geometry at the PBE-GGA level of DFT.

Lattice parameters (Å, degrees): 4.020 4.020 16.049 90.00 90.00 90.00
Space group P4/mmm (No. 123)
Symmetry-distinct sites (fractional):
Ac (0.000, 0.000, 0.000) x1
Ac (0.000, 0.000, 0.258) x2
Ce (0.000, 0.000, 0.500) x1
Cd (0.500, 0.500, 0.129) x2
Cd (0.500, 0.500, 0.390) x2

The value obtained for the total magnetization is 2.02 μB per formula unit. As for the density of states at the Fermi level: 15.97 states/eV/f.u. The formation energy comes out at -0.241 eV per atom.


[3]
Computed, not measured: crystalline In2Pt2Pb at its relaxed geometry at the PBE-GGA level of DFT.

Lattice parameters (Å, degrees): 4.241 4.241 12.716 90.00 90.00 90.00
Space group I4/mmm (No. 139)
Symmetry-distinct sites (fractional):
In (0.000, 0.000, 0.118) x4
Pt (0.000, 0.500, 0.250) x4
Pb (0.000, 0.000, 0.500) x2

The value obtained for the total magnetization is 0.00 μB per formula unit. As for the density of states at the Fermi level: 2.26 states/eV/f.u. The formation energy comes out at -0.137 eV per atom.


[4]
Computed, not measured: crystalline TmPO at its relaxed geometry at the PBE-GGA level of DFT.

Lattice parameters (Å, degrees): 6.207 3.742 9.408 90.00 96.99 90.00
Space group C2/m (No. 12)
Symmetry-distinct sites (fractional):
Tm (0.201, 0.000, 0.154) x4
P (0.155, 0.000, 0.445) x4
O (0.153, 0.000, 0.902) x4

The value obtained for the total magnetization is 0.00 μB per formula unit. For the formation energy without anion corrections, the calculation gives -6.0 eV per formula unit. As for the density of states at the Fermi level: 0.89 states/eV/f.u.


[5]
Computed, not measured: crystalline ZrHgSe2 at its relaxed geometry at the PBE-GGA level of DFT.

Lattice parameters (Å, degrees): 3.457 3.457 7.523 90.00 90.48 90.00
Space group P2/m (No. 10)
Symmetry-distinct sites (fractional):
Zr (0.000, 0.000, 0.000) x1
Hg (0.000, 0.000, 0.500) x1
Se (0.497, 0.500, 0.798) x2

The offset from the most stable computed form is 0.248 eV per atom. The value obtained for the total magnetization is 0.00 μB per formula unit. For the formation energy without anion corrections, the calculation gives -3.0 eV per formula unit. As for the density of states at the Fermi level: 2.24 states/eV/f.u.


[6]
Computed, not measured: crystalline GeBi3Te at its relaxed geometry at the PBE-GGA level of DFT.

Lattice parameters (Å, degrees): 5.850 5.850 5.850 90.00 90.00 90.00
Space group Pm-3m (No. 221)
Symmetry-distinct sites (fractional):
Ge (0.000, 0.000, 0.000) x1
Bi (0.000, 0.500, 0.500) x3
Te (0.500, 0.500, 0.500) x1

The offset from the most stable computed form is 0.360 eV per atom. The value obtained for the total magnetization is 0.00 μB per formula unit. For the formation energy without anion corrections, the calculation gives 4.6 eV per formula unit. As for the density of states at the Fermi level: 5.72 states/eV/f.u.


[7]
Computed, not measured: crystalline LaSmDy2 at its relaxed geometry at the PBE-GGA level of DFT.

Lattice parameters (Å, degrees): 5.139 5.139 5.066 90.00 90.00 90.00
Space group P4/mmm (No. 123)
Symmetry-distinct sites (fractional):
La (0.000, 0.000, 0.000) x1
Sm (0.500, 0.500, 0.000) x1
Dy (0.000, 0.500, 0.500) x2

The offset from the most stable computed form is 0.012 eV per atom. The value obtained for the total magnetization is 0.00 μB per formula unit. As for the density of states at the Fermi level: 6.66 states/eV/f.u. The formation energy comes out at 0.027 eV per atom.


[8]
Computed, not measured: crystalline BeTcHg2 at its relaxed geometry at the PBE-GGA level of DFT.

Lattice parameters (Å, degrees): 3.039 3.153 7.179 90.00 90.00 90.00
Space group Pmm2 (No. 25)
Symmetry-distinct sites (fractional):
Be (0.000, 0.000, 0.000) x1
Tc (0.500, 0.500, 0.884) x1
Hg (0.000, 0.000, 0.608) x1
Hg (0.500, 0.500, 0.277) x1

The value obtained for the total magnetization is 0.00 μB per formula unit. As for the density of states at the Fermi level: 3.64 states/eV/f.u. The formation energy comes out at 0.383 eV per atom.


[9]
Computed, not measured: crystalline UTc8C2 at its relaxed geometry at the PBE-GGA level of DFT.

Lattice parameters (Å, degrees): 10.181 7.858 4.085 90.00 91.98 90.00
Space group C2/m (No. 12)
Symmetry-distinct sites (fractional):
U (0.000, 0.000, 0.000) x2
Tc (0.077, 0.500, 0.756) x4
Tc (0.111, 0.252, 0.280) x8
Tc (0.228, 0.000, 0.758) x4
C (0.214, 0.000, 0.269) x4

The value obtained for the total magnetization is 0.00 μB per formula unit. As for the density of states at the Fermi level: 9.73 states/eV/f.u. The formation energy comes out at 0.461 eV per atom.


[10]
Computed, not measured: crystalline SmDy2YHo6 at its relaxed geometry at the PBE-GGA level of DFT.

Lattice parameters (Å, degrees): 9.008 15.018 9.547 90.00 97.68 90.00
Space group C2/c (No. 15)
Symmetry-distinct sites (fractional):
Sm (0.000, 0.024, 0.250) x4
Dy (0.249, 0.053, 0.544) x8
Y (0.000, 0.408, 0.750) x4
Ho (0.064, 0.187, 0.943) x8
Ho (0.101, 0.392, 0.120) x8
Ho (0.205, 0.226, 0.317) x8

The value obtained for the total magnetization is 0.00 μB per formula unit. As for the density of states at the Fermi level: 14.32 states/eV/f.u. The formation energy comes out at 0.119 eV per atom.


[11]
Computed, not measured: crystalline AlFePd2 at its relaxed geometry at the PBE-GGA level of DFT.

Lattice parameters (Å, degrees): 4.510 4.510 2.818 90.00 90.00 90.00
Space group P4/mmm (No. 123)
Symmetry-distinct sites (fractional):
Al (0.000, 0.000, 0.000) x1
Fe (0.500, 0.500, 0.000) x1
Pd (0.000, 0.500, 0.500) x2

The value obtained for the total magnetization is 3.21 μB per formula unit. As for the density of states at the Fermi level: 2.93 states/eV/f.u. The formation energy comes out at -0.434 eV per atom.


[12]
Computed, not measured: crystalline Sr2ZnSe at its relaxed geometry at the PBE-GGA level of DFT.

Lattice parameters (Å, degrees): 4.3301 4.3301 26.8127 90.00 90.00 120.00
Space group R3m (No. 160, hexagonal axes)
Symmetry-distinct sites (fractional):
Sr (0.0000, 0.0000, 0.0000) x3
Sr (0.0000, 0.0000, 0.1980) x3
Zn (0.0000, 0.0000, 0.7452) x3
Se (0.0000, 0.0000, 0.4640) x3

The offset from the most stable computed form is 0.311 eV per atom. The value obtained for the total magnetization is 0.00 μB per formula unit. For the formation energy without anion corrections, the calculation gives -2.6 eV per formula unit. As for the density of states at the Fermi level: 0.97 states/eV/f.u.


[13]
Computed, not measured: crystalline Ca4InBi4 at its relaxed geometry at the PBE-GGA level of DFT.

Lattice parameters (Å, degrees): 6.930 6.753 13.828 90.00 110.22 90.00
Space group P2/c (No. 13)
Symmetry-distinct sites (fractional):
Ca (0.121, 0.197, 0.126) x4
Ca (0.297, 0.344, 0.881) x4
In (0.500, 0.070, 0.750) x2
Bi (0.172, 0.322, 0.610) x4
Bi (0.363, 0.173, 0.394) x4

The value obtained for the total magnetization is 0.00 μB per formula unit. As for the density of states at the Fermi level: 4.29 states/eV/f.u. The formation energy comes out at -0.595 eV per atom.


[14]
Computed, not measured: crystalline Ba4SrPd at its relaxed geometry at the PBE-GGA level of DFT.

Lattice parameters (Å, degrees): 20.717 8.654 7.435 90.00 108.05 90.00
Space group C2/m (No. 12)
Symmetry-distinct sites (fractional):
Ba (0.000, 0.250, 0.000) x4
Ba (0.109, 0.247, 0.615) x8
Ba (0.181, 0.000, 0.204) x4
Sr (0.196, 0.500, 0.189) x4
Pd (0.018, 0.000, 0.329) x4

The offset from the most stable computed form is 0.000 eV per atom. The value obtained for the total magnetization is 0.00 μB per formula unit. As for the density of states at the Fermi level: 6.67 states/eV/f.u. The formation energy comes out at -0.178 eV per atom.


[15]
Computed, not measured: crystalline Os2RuAu at its relaxed geometry at the PBE-GGA level of DFT.

Lattice parameters (Å, degrees): 2.760 3.921 5.578 90.00 90.00 90.00
Space group Pmmm (No. 47)
Symmetry-distinct sites (fractional):
Os (0.000, 0.000, 0.228) x2
Ru (0.500, 0.500, 0.000) x1
Au (0.500, 0.500, 0.500) x1

The offset from the most stable computed form is 0.190 eV per atom. The value obtained for the total magnetization is 0.00 μB per formula unit. As for the density of states at the Fermi level: 4.66 states/eV/f.u. The formation energy comes out at 0.469 eV per atom.


[16]
Computed, not measured: crystalline Ag2RuCl at its relaxed geometry at the PBE-GGA level of DFT.

Lattice parameters (Å, degrees): 7.596 7.596 5.286 90.00 90.00 90.00
Space group I-42d (No. 122)
Symmetry-distinct sites (fractional):
Ag (0.245, 0.250, 0.125) x8
Ru (0.000, 0.000, 0.500) x4
Cl (0.000, 0.000, 0.000) x4

The offset from the most stable computed form is 0.458 eV per atom. The value obtained for the total magnetization is 1.64 μB per formula unit. For the formation energy without anion corrections, the calculation gives 3.1 eV per formula unit. As for the density of states at the Fermi level: 5.58 states/eV/f.u.


[17]
Computed, not measured: crystalline LaTcTe2 at its relaxed geometry at the PBE-GGA level of DFT.

Lattice parameters (Å, degrees): 22.159 4.092 5.207 90.00 91.84 90.00
Space group Cm (No. 8)
Symmetry-distinct sites (fractional):
La (0.000, 0.000, 0.000) x2
La (0.224, 0.000, 0.057) x2
Tc (0.331, 0.000, 0.636) x2
Tc (0.383, 0.500, 0.517) x2
Te (0.110, 0.500, 0.017) x2
Te (0.242, 0.500, 0.547) x2
Te (0.347, 0.500, 0.020) x2
Te (0.471, 0.000, 0.500) x2

The offset from the most stable computed form is 0.084 eV per atom. The value obtained for the total magnetization is 0.00 μB per formula unit. For the formation energy without anion corrections, the calculation gives -2.8 eV per formula unit. As for the density of states at the Fermi level: 1.91 states/eV/f.u.


[18]
Computed, not measured: crystalline OsC2 at its relaxed geometry at the PBE-GGA level of DFT.

Lattice parameters (Å, degrees): 3.1838 3.1838 10.5427 90.00 90.00 120.00
Space group P6_3/mmc (No. 194)
Symmetry-distinct sites (fractional):
Os (0.0000, 0.0000, 0.2500) x2
C (0.3333, 0.6667, 0.1671) x4

The offset from the most stable computed form is 0.996 eV per atom. The value obtained for the total magnetization is 0.00 μB per formula unit. As for the density of states at the Fermi level: 2.20 states/eV/f.u. The formation energy comes out at 1.560 eV per atom.


[19]
Computed, not measured: crystalline HoAl3ZnCu at its relaxed geometry at the PBE-GGA level of DFT.

Lattice parameters (Å, degrees): 6.117 12.579 5.689 90.00 90.00 90.00
Space group Cmcm (No. 63)
Symmetry-distinct sites (fractional):
Ho (0.000, 0.206, 0.250) x4
Al (0.000, 0.363, 0.750) x4
Al (0.211, 0.000, 0.000) x8
Zn (0.000, 0.155, 0.750) x4
Cu (0.000, 0.421, 0.250) x4

The value obtained for the total magnetization is 0.00 μB per formula unit. As for the density of states at the Fermi level: 2.56 states/eV/f.u. The formation energy comes out at -0.129 eV per atom.


[20]
Computed, not measured: crystalline Pm3Pr5Ho3 at its relaxed geometry at the PBE-GGA level of DFT.

Lattice parameters (Å, degrees): 11.4335 11.4335 3.4752 90.00 90.00 120.00
Space group P-62m (No. 189)
Symmetry-distinct sites (fractional):
Pm (0.0000, 0.5977, 0.0000) x3
Pr (0.0000, 0.3373, 0.5000) x3
Pr (0.3333, 0.6667, 0.5000) x2
Ho (0.0000, 0.8411, 0.5000) x3

The offset from the most stable computed form is 0.000 eV per atom. The value obtained for the total magnetization is 0.00 μB per formula unit. As for the density of states at the Fermi level: 17.14 states/eV/f.u. The formation energy comes out at 0.304 eV per atom.